[1]
The following is a DFT calculation (GGA-PBEsol) of a relaxed NaMnO2 crystal.

Calculated values
- total energy (eV/cell) = -56.56
- volume (Å³ per cell) = 86.7
- magnetic moment (μB per cell) = 8.00

Unit cell a=2.8472 b=4.8400 c=6.2942 alpha=90.00 beta=90.00 gamma=90.00
Space group Pmmn (No. 59, origin choice 2)
Symmetry-distinct sites (fractional):
Na: 0.2500 0.2500 0.1250 x2
Mn: 0.2500 0.2500 0.6249 x2
O: 0.2500 0.7500 0.1720 x2
O: 0.2500 0.7500 0.5809 x2

=====

[2]
The following is a DFT calculation (GGA-PBEsol) of a relaxed NaMnO2 crystal.

Calculated values
- total energy (eV/cell) = -56.59
- volume (Å³ per cell) = 86.4
- magnetic moment (μB per cell) = 8.00

Unit cell a=5.7152 b=2.8485 c=5.7983 alpha=90.00 beta=113.69 gamma=90.00
Space group C2/m (No. 12)
Symmetry-distinct sites (fractional):
Na: 0.0000 0.0000 0.0000 x2
Mn: 0.0000 0.5000 0.5000 x2
O: 0.2021 0.0000 0.7064 x4

=====

[3]
The following is a DFT calculation (GGA-PBEsol) of a relaxed NaMnO2 crystal.

Calculated values
- total energy (eV/cell) = -110.75
- volume (Å³ per cell) = 195.2
- magnetic moment (μB per cell) = 16.00

Unit cell a=5.4683 b=5.4683 c=6.5266 alpha=90.00 beta=90.00 gamma=90.00
Space group I-42d (No. 122)
Symmetry-distinct sites (fractional):
Na: 0.0000 0.0000 0.0000 x4
Mn: 0.0000 0.0000 0.5000 x4
O: 0.1827 0.7500 0.6250 x8

=====

[4]
The following is a DFT calculation (GGA-PBEsol) of a relaxed Na2Mn2O3 crystal.

Calculated values
- total energy (eV/cell) = -93.16
- volume (Å³ per cell) = 193.1
- magnetic moment (μB per cell) = 19.79

Unit cell a=6.0804 b=6.2519 c=5.6626 alpha=90.00 beta=116.24 gamma=90.00
Space group P2_1/c (No. 14)
Symmetry-distinct sites (fractional):
Na: 0.2371 0.1358 0.4372 x4
Mn: 0.3034 0.6209 0.5230 x4
O: 0.0000 0.0000 0.0000 x2
O: 0.4489 0.6232 0.2627 x4

=====

[5]
The following is a DFT calculation (GGA-PBEsol) of a relaxed NaMn3O4 crystal.

Calculated values
- total energy (eV/cell) = -125.41
- volume (Å³ per cell) = 167.3
- magnetic moment (μB per cell) = 26.23

Unit cell a=6.3669 b=8.3977 c=3.1485 alpha=90.00 beta=96.32 gamma=90.00
Space group C2/m (No. 12)
Symmetry-distinct sites (fractional):
Na: 0.0000 0.0000 0.0000 x2
Mn: 0.0000 0.5000 0.0000 x2
Mn: 0.2500 0.2500 0.5000 x4
O: 0.0000 0.2687 0.0000 x4
O: 0.2294 0.5000 0.4545 x4

=====

[6]
The following is a DFT calculation (GGA-PBEsol) of a relaxed NaMnO2 crystal.

Calculated values
- total energy (eV/cell) = -225.28
- volume (Å³ per cell) = 340.2
- magnetic moment (μB per cell) = 32.01

Unit cell a=5.9333 b=5.9333 c=9.6628 alpha=90.00 beta=90.00 gamma=90.00
Space group I4_1/amd (No. 141, origin choice 2)
Symmetry-distinct sites (fractional):
Na: 0.0000 0.0000 0.0000 x8
Mn: 0.0000 0.0000 0.5000 x8
O: 0.0000 0.0401 0.2511 x16

=====

[7]
The following is a DFT calculation (GGA-PBEsol) of a relaxed Na2MnO crystal.

Calculated values
- total energy (eV/cell) = -63.77
- volume (Å³ per cell) = 280.4
- magnetic moment (μB per cell) = 20.05

Unit cell a=6.5453 b=6.5453 c=6.5453 alpha=90.00 beta=90.00 gamma=90.00
Space group Fm-3m (No. 225)
Symmetry-distinct sites (fractional):
Na: 0.2500 0.2500 0.2500 x8
Mn: 0.0000 0.0000 0.0000 x4
O: 0.0000 0.0000 0.5000 x4

=====

[8]
The following is a DFT calculation (GGA-PBEsol) of a relaxed NaMn2O4 crystal.

Calculated values
- total energy (eV/cell) = -54.01
- volume (Å³ per cell) = 76.2
- magnetic moment (μB per cell) = 5.00

Unit cell a=4.8287 b=2.8449 c=5.7963 alpha=90.00 beta=106.76 gamma=90.00
Space group P2/m (No. 10)
Symmetry-distinct sites (fractional):
Na: 0.0000 0.0000 0.0000 x1
Mn: 0.0000 0.5000 0.5000 x1
Mn: 0.5000 0.0000 0.5000 x1
O: 0.2261 0.0000 0.6820 x2
O: 0.2689 0.5000 0.3133 x2

=====

[9]
The following is a DFT calculation (GGA-PBEsol) of a relaxed NaPr2Ti2MnO9 crystal.

Calculated values
- total energy (eV/cell) = -513.93
- volume (Å³ per cell) = 688.8
- magnetic moment (μB per cell) = 16.00

Unit cell a=5.4510 b=5.5182 c=22.9133 alpha=89.64 beta=89.86 gamma=88.12
Space group P1 (No. 1)
Symmetry-distinct sites (fractional):
Na: 0.0000 0.0000 0.0000 x1
Na: 0.0013 0.9996 0.6657 x1
Na: 0.0029 0.0008 0.3344 x1
Na: 0.5108 0.4625 0.4998 x1
Pr: 0.0159 0.9362 0.5001 x1
Pr: 0.0198 0.9343 0.8334 x1
Pr: 0.0205 0.9363 0.1672 x1
Pr: 0.5024 0.4358 0.8330 x1
Pr: 0.5031 0.4382 0.1667 x1
Pr: 0.5133 0.5165 0.6658 x1
Pr: 0.5149 0.5185 0.9996 x1
Pr: 0.5159 0.5277 0.3336 x1
Ti: 0.0075 0.4685 0.9199 x1
Ti: 0.0079 0.4696 0.2529 x1
Ti: 0.0180 0.4733 0.5842 x1
Ti: 0.0176 0.4756 0.4188 x1
Ti: 0.5110 0.9761 0.7467 x1
Ti: 0.5107 0.9787 0.0796 x1
Ti: 0.5158 0.9913 0.5826 x1
Ti: 0.5158 0.9955 0.4143 x1
Mn: 0.0056 0.4693 0.7488 x1
Mn: 0.0067 0.4719 0.0827 x1
Mn: 0.5112 0.9766 0.9175 x1
Mn: 0.5131 0.9803 0.2514 x1
O: 0.0762 0.4527 0.6671 x1
O: 0.0799 0.4554 0.3339 x1
O: 0.0811 0.4524 0.0006 x1
O: 0.2137 0.1814 0.5705 x1
O: 0.2144 0.1841 0.4299 x1
O: 0.2239 0.1992 0.7662 x1
O: 0.2256 0.2014 0.1001 x1
O: 0.2304 0.1933 0.9007 x1
O: 0.2309 0.1949 0.2345 x1
O: 0.2751 0.6914 0.4273 x1
O: 0.2756 0.6877 0.5725 x1
O: 0.2792 0.6819 0.9027 x1
O: 0.2805 0.6836 0.2366 x1
O: 0.2970 0.7070 0.0980 x1
O: 0.2977 0.7047 0.7644 x1
O: 0.4340 0.9604 0.6661 x1
O: 0.4347 0.9638 0.9992 x1
O: 0.4376 0.9678 0.3329 x1
O: 0.5745 0.9797 0.4997 x1
O: 0.5850 0.9864 0.8343 x1
O: 0.5854 0.9888 0.1683 x1
O: 0.6960 0.2634 0.7400 x1
O: 0.6985 0.2655 0.0736 x1
O: 0.7145 0.2544 0.5948 x1
O: 0.7155 0.2597 0.4048 x1
O: 0.7183 0.2835 0.9259 x1
O: 0.7180 0.2882 0.2596 x1
O: 0.7754 0.7470 0.5953 x1
O: 0.7769 0.7503 0.4048 x1
O: 0.7854 0.7531 0.0706 x1
O: 0.7856 0.7519 0.7369 x1
O: 0.7858 0.7594 0.9292 x1
O: 0.7875 0.7641 0.2629 x1
O: 0.9369 0.4920 0.8316 x1
O: 0.9372 0.4947 0.1658 x1
O: 0.9391 0.4903 0.5004 x1

=====

[10]
The following is a DFT calculation (GGA-PBEsol) of a relaxed NaMnS2O crystal.

Calculated values
- total energy (eV/cell) = -24.84
- volume (Å³ per cell) = 77.0
- magnetic moment (μB per cell) = 4.84

Unit cell a=4.4167 b=4.4167 c=3.9458 alpha=90.00 beta=90.00 gamma=90.00
Space group P4/mmm (No. 123)
Symmetry-distinct sites (fractional):
Na: 0.0000 0.0000 0.0000 x1
Mn: 0.5000 0.5000 0.0000 x1
S: 0.0000 0.5000 0.5000 x2
O: 0.0000 0.0000 0.5000 x1

=====

[11]
The following is a DFT calculation (GGA-PBEsol) of a relaxed Na3Mn2SbO6 crystal.

Calculated values
- total energy (eV/cell) = -156.30
- volume (Å³ per cell) = 280.4
- magnetic moment (μB per cell) = 20.00

Unit cell a=5.4998 b=9.4714 c=5.6985 alpha=90.00 beta=109.17 gamma=90.00
Space group C2/m (No. 12)
Symmetry-distinct sites (fractional):
Na: 0.0000 0.0000 0.0000 x2
Na: 0.0000 0.3280 0.0000 x4
Mn: 0.0000 0.1664 0.5000 x4
Sb: 0.0000 0.5000 0.5000 x2
O: 0.2231 0.3449 0.7092 x8
O: 0.2400 0.5000 0.2957 x4

=====

[12]
The following is a DFT calculation (GGA-PBEsol) of a relaxed NaScMn2O crystal.

Calculated values
- total energy (eV/cell) = -33.93
- volume (Å³ per cell) = 72.4
- magnetic moment (μB per cell) = 5.42

Unit cell a=4.0919 b=4.0919 c=4.3226 alpha=90.00 beta=90.00 gamma=90.00
Space group P4/mmm (No. 123)
Symmetry-distinct sites (fractional):
Na: 0.0000 0.0000 0.0000 x1
Sc: 0.5000 0.5000 0.0000 x1
Mn: 0.0000 0.5000 0.5000 x2
O: 0.5000 0.5000 0.5000 x1

=====

[13]
The following is a DFT calculation (GGA-PBEsol) of a relaxed NaMn2Si3O9 crystal.

Calculated values
- total energy (eV/cell) = -239.35
- volume (Å³ per cell) = 338.4
- magnetic moment (μB per cell) = 18.00

Unit cell a=6.4895 b=7.2162 c=7.3224 alpha=81.21 beta=88.13 gamma=87.54
Space group P-1 (No. 2)
Symmetry-distinct sites (fractional):
Na: 0.1243 0.2124 0.0924 x2
Mn: 0.3484 0.8941 0.3758 x2
Mn: 0.3679 0.4374 0.3385 x2
Si: 0.1421 0.5297 0.7106 x2
Si: 0.1587 0.0964 0.7153 x2
Si: 0.3542 0.7567 0.9622 x2
O: 0.0684 0.9635 0.3234 x2
O: 0.0811 0.3877 0.3545 x2
O: 0.1500 0.3043 0.7762 x2
O: 0.1885 0.6079 0.9062 x2
O: 0.2348 0.9649 0.9116 x2
O: 0.3361 0.5882 0.5609 x2
O: 0.3487 0.0780 0.5641 x2
O: 0.3871 0.7184 0.1852 x2
O: 0.4406 0.2616 0.1665 x2

=====

[14]
The following is a DFT calculation (GGA-PBEsol) of a relaxed Na2MnSiO crystal.

Calculated values
- total energy (eV/cell) = -21.85
- volume (Å³ per cell) = 118.6
- magnetic moment (μB per cell) = 4.85

Unit cell a=5.8696 b=5.8696 c=3.4434 alpha=90.00 beta=90.00 gamma=90.00
Space group P4/mmm (No. 123)
Symmetry-distinct sites (fractional):
Na: 0.0000 0.5000 0.0000 x2
Mn: 0.0000 0.0000 0.5000 x1
Si: 0.5000 0.5000 0.0000 x1
O: 0.5000 0.5000 0.5000 x1

=====

[15]
The following is a DFT calculation (GGA-PBEsol) of a relaxed NaMnVO4 crystal.

Calculated values
- total energy (eV/cell) = -223.93
- volume (Å³ per cell) = 335.9
- magnetic moment (μB per cell) = 20.00

Unit cell a=9.4309 b=6.7730 c=5.2583 alpha=90.00 beta=90.00 gamma=90.00
Space group Pnma (No. 62)
Symmetry-distinct sites (fractional):
Na: 0.1474 0.2500 0.0145 x4
Mn: 0.0000 0.0000 0.5000 x4
V: 0.1803 0.7500 0.0233 x4
O: 0.1137 0.5518 0.1848 x8
O: 0.1187 0.7500 0.7110 x4
O: 0.1339 0.2500 0.5623 x4

=====

[16]
The following is a DFT calculation (GGA-PBEsol) of a relaxed NaMn3V4O12 crystal.

Calculated values
- total energy (eV/cell) = -347.45
- volume (Å³ per cell) = 388.8
- magnetic moment (μB per cell) = 35.76

Unit cell a=7.2988 b=7.2988 c=7.2988 alpha=90.00 beta=90.00 gamma=90.00
Space group Im-3 (No. 204)
Symmetry-distinct sites (fractional):
Na: 0.0000 0.0000 0.0000 x2
Mn: 0.0000 0.0000 0.5000 x6
V: 0.2500 0.2500 0.2500 x8
O: 0.0000 0.3088 0.1842 x24

=====

[17]
The following is a DFT calculation (GGA-PBEsol) of a relaxed NaMnP2S crystal.

Calculated values
- total energy (eV/cell) = -27.05
- volume (Å³ per cell) = 92.1
- magnetic moment (μB per cell) = 1.70

Unit cell a=4.2932 b=4.2932 c=4.9986 alpha=90.00 beta=90.00 gamma=90.00
Space group P4/mmm (No. 123)
Symmetry-distinct sites (fractional):
Na: 0.0000 0.0000 0.0000 x1
Mn: 0.5000 0.5000 0.5000 x1
P: 0.0000 0.5000 0.5000 x2
S: 0.5000 0.5000 0.0000 x1

=====

[18]
The following is a DFT calculation (GGA-PBEsol) of a relaxed NaMnPb3 crystal.

Calculated values
- volume (Å³ per cell) = 153.8
- magnetic moment (μB per cell) = 4.66
- formation enthalpy at 0 K (eV per atom) = 0.999

Unit cell a=5.3577 b=5.3577 c=5.3577 alpha=90.00 beta=90.00 gamma=90.00
Space group Pm-3m (No. 221)
Symmetry-distinct sites (fractional):
Na: 0.0000 0.0000 0.0000 x1
Mn: 0.5000 0.5000 0.5000 x1
Pb: 0.0000 0.0000 0.5000 x3

=====

[19]
The following is a DFT calculation (GGA-PBEsol) of a relaxed NaTiMnPd2 crystal.

Calculated values
- volume (Å³ per cell) = 91.7
- magnetic moment (μB per cell) = 1.91
- formation enthalpy at 0 K (eV per atom) = 1.361

Unit cell a=4.4927 b=4.4927 c=4.5434 alpha=90.00 beta=90.00 gamma=90.00
Space group P4/mmm (No. 123)
Symmetry-distinct sites (fractional):
Na: 0.0000 0.0000 0.0000 x1
Ti: 0.0000 0.0000 0.5000 x1
Mn: 0.5000 0.5000 0.5000 x1
Pd: 0.0000 0.5000 0.0000 x2

=====

[20]
The following is a DFT calculation (GGA-PBEsol) of a relaxed NaMn3Rh crystal.

Calculated values
- volume (Å³ per cell) = 111.9
- magnetic moment (μB per cell) = 13.52
- formation enthalpy at 0 K (eV per atom) = 0.992

Unit cell a=4.8190 b=4.8190 c=4.8190 alpha=90.00 beta=90.00 gamma=90.00
Space group Pm-3m (No. 221)
Symmetry-distinct sites (fractional):
Na: 0.0000 0.0000 0.0000 x1
Mn: 0.0000 0.5000 0.5000 x3
Rh: 0.5000 0.5000 0.5000 x1